{"formula": "NaTm2Pu3Se6", "functional": "PBE", "state": "optimized geometry", "e_form_raw_kj_per_mol_atoms": -150.3, "volume_a3_per_atom": 24.65, "lattice_angstrom": [[-1.689, 2.042, -3.129], [-0.480, -7.013, -4.318], [-6.991, -0.840, 5.912]], "species": ["Pu", "Se", "Se", "Tm", "Se", "Se", "Na", "Tm", "Se", "Pu", "Pu", "Se"], "fractional_positions": [[0.835, 0.164, 0.671], [0.005, 0.253, 0.010], [0.331, 0.420, 0.662], [0.833, 0.663, 0.666], [0.995, 0.747, 0.990], [0.668, 0.094, 0.336], [0.500, 0.000, 0.000], [0.167, 0.337, 0.334], [0.332, 0.906, 0.664], [0.165, 0.836, 0.329], [0.500, 0.500, 0.000], [0.669, 0.580, 0.338]]}

{"formula": "Na3Tm2PuSe6", "functional": "PBE", "state": "optimized geometry", "e_form_raw_kj_per_mol_atoms": -152.8, "volume_a3_per_atom": 25.95, "lattice_angstrom": [[-3.566, -4.746, -4.042], [4.750, -2.288, 4.877], [-5.450, 2.063, 4.514]], "species": ["Na", "Se", "Se", "Pu", "Na", "Se", "Tm", "Se", "Na", "Se", "Tm", "Se"], "fractional_positions": [[0.500, 0.500, 0.500], [0.076, 0.417, 0.228], [0.417, 0.076, 0.228], [0.000, 0.000, 0.000], [0.835, 0.165, 0.500], [0.924, 0.583, 0.772], [0.667, 0.333, 0.000], [0.264, 0.264, 0.772], [0.165, 0.835, 0.500], [0.583, 0.924, 0.772], [0.333, 0.667, 0.000], [0.736, 0.736, 0.228]]}

{"formula": "Na3TmPu2Se6", "functional": "PBE", "state": "optimized geometry", "e_form_raw_kj_per_mol_atoms": -144.2, "volume_a3_per_atom": 26.27, "lattice_angstrom": [[7.231, -0.001, 0.000], [-3.615, 6.263, 0.000], [-1.206, -2.088, 6.962]], "species": ["Na", "Tm", "Se", "Se", "Na", "Se", "Se", "Na", "Pu", "Se", "Pu", "Se"], "fractional_positions": [[0.833, 0.167, 0.500], [0.000, 0.000, 0.000], [0.749, 0.749, 0.229], [0.923, 0.596, 0.770], [0.500, 0.500, 0.500], [0.251, 0.251, 0.771], [0.077, 0.404, 0.230], [0.167, 0.833, 0.500], [0.333, 0.667, 0.000], [0.404, 0.077, 0.230], [0.667, 0.333, 0.000], [0.596, 0.923, 0.770]]}

{"formula": "Na3Tm3PuSe8", "functional": "PBE", "state": "optimized geometry", "e_form_raw_kj_per_mol_atoms": -153.0, "volume_a3_per_atom": 27.27, "lattice_angstrom": [[8.191, 0.000, 0.000], [-4.096, 7.096, -0.028], [0.000, -4.708, 7.057]], "species": ["Se", "Na", "Se", "Na", "Pu", "Tm", "Se", "Tm", "Se", "Se", "Se", "Tm", "Na", "Se", "Se"], "fractional_positions": [[0.759, 0.018, 0.277], [0.000, 0.500, 0.000], [0.741, 0.982, 0.723], [0.000, 0.000, 0.000], [0.000, 0.000, 0.500], [0.500, 0.000, 0.500], [0.259, 0.018, 0.277], [0.000, 0.500, 0.500], [0.258, 0.515, 0.273], [0.241, 0.982, 0.723], [0.241, 0.483, 0.723], [0.500, 0.500, 0.500], [0.500, 0.500, 0.000], [0.759, 0.517, 0.277], [0.742, 0.485, 0.727]]}

{"formula": "NaTmPu2Se4", "functional": "PBE", "state": "optimized geometry", "e_form_raw_kj_per_mol_atoms": -146.3, "volume_a3_per_atom": 25.06, "lattice_angstrom": [[-2.105, -2.290, 2.714], [5.991, -0.784, 3.984], [-3.545, 5.794, 2.139]], "species": ["Pu", "Pu", "Na", "Tm", "Se", "Se", "Se", "Se"], "fractional_positions": [[0.500, 0.000, 0.500], [0.000, 0.500, 0.500], [0.500, 0.500, 0.000], [0.000, 0.000, 0.000], [0.500, 0.756, 0.758], [0.500, 0.244, 0.242], [0.000, 0.242, 0.753], [0.000, 0.758, 0.247]]}

{"formula": "Na4TmPu3Se8", "functional": "PBE", "state": "optimized geometry", "e_form_raw_kj_per_mol_atoms": -142.3, "volume_a3_per_atom": 26.36, "lattice_angstrom": [[-1.244, -3.388, 7.557], [8.301, 0.473, 1.578], [-4.193, 6.894, -2.239]], "species": ["Na", "Se", "Se", "Se", "Se", "Se", "Pu", "Na", "Se", "Pu", "Na", "Se", "Pu", "Tm", "Se", "Na"], "fractional_positions": [[0.000, 0.000, 0.000], [0.743, 0.729, 0.486], [0.760, 0.271, 0.011], [0.749, 0.729, 0.989], [0.240, 0.729, 0.481], [0.760, 0.271, 0.519], [0.000, 0.500, 0.500], [0.500, 0.000, 0.500], [0.257, 0.271, 0.514], [0.500, 0.500, 0.500], [0.500, 0.000, 0.000], [0.251, 0.271, 0.011], [0.500, 0.500, 0.000], [0.000, 0.500, 0.000], [0.240, 0.729, 0.989], [0.000, 0.000, 0.500]]}